No. 1
Co2Ni9H: relaxed, PBE.

The structure belongs to space group P4/mmm (No. 123); the cell edges are 3.505, 3.505 and 10.250 Å and the angles 90.00°, 90.00° and 90.00°. The inequivalent atoms are Co at (0.000, 0.000, 0.176), Ni at (0.000, 0.500, 0.000), Ni at (0.000, 0.500, 0.344), Ni at (0.500, 0.500, 0.170), Ni at (0.500, 0.500, 0.500) and H at (0.000, 0.000, 0.500).

For the density of states at the Fermi level, the calculation gives 1.056 states/eV per atom. The final energy is -5.633 eV per atom.



No. 2
Pr4SmY3: relaxed, PBE.

The structure belongs to space group C2/m (No. 12); the cell edges are 24.009, 3.501 and 6.925 Å and the angles 90.00°, 106.24° and 90.00°. The inequivalent atoms are Pr at (0.124, 0.000, 0.369), Pr at (0.241, 0.500, 0.236), Sm at (0.000, 0.500, 0.000), Y at (0.000, 0.000, 0.500) and Y at (0.123, 0.000, 0.880).

For the density of states at the Fermi level, the calculation gives 1.788 states/eV per atom. The distance to the lowest polymorph of the same formula is 138 meV/atom. Its formation energy is 0.164 eV/atom. The final energy is -5.240 eV per atom.



No. 3
Ti6Bi3Te: relaxed, PBE.

The structure belongs to space group Cmc2_1 (No. 36); the cell edges are 9.212, 13.495 and 7.298 Å and the angles 90.00°, 90.00° and 90.00°. The inequivalent atoms are Ti at (0.000, 0.072, 0.000), Ti at (0.000, 0.254, 0.380), Ti at (0.164, 0.420, 0.468), Ti at (0.198, 0.248, 0.053), Bi at (0.000, 0.418, 0.128), Bi at (0.192, 0.085, 0.317) and Te at (0.000, 0.213, 0.748).

The formation energy without anion corrections is -0.069 eV/atom. For the density of states at the Fermi level, the calculation gives 0.812 states/eV per atom. The final energy is -6.285 eV per atom.



No. 4
TbNd2Sm5: relaxed, PBE.

The structure belongs to space group P2_1/m (No. 11); the cell edges are 7.260, 10.244 and 7.832 Å and the angles 90.00°, 103.57° and 90.00°. The inequivalent atoms are Tb at (0.071, 0.250, 0.274), Nd at (0.088, 0.594, 0.362), Sm at (0.251, 0.526, 0.002), Sm at (0.405, 0.093, 0.635) and Sm at (0.439, 0.750, 0.732).

For the density of states at the Fermi level, the calculation gives 1.329 states/eV per atom. The distance to the lowest polymorph of the same formula is 218 meV/atom. Its formation energy is 0.232 eV/atom. The final energy is -4.488 eV per atom.



No. 5
Sm2LuSn: relaxed, PBE.

The structure belongs to space group R-3m (No. 166, hexagonal axes); the cell edges are 3.5255, 3.5255 and 36.0700 Å and the angles 90.00°, 90.00° and 120.00°. The inequivalent atoms are Sm at (0.0000, 0.0000, 0.0880), Lu at (0.0000, 0.0000, 0.5000) and Sn at (0.0000, 0.0000, 0.0000).

For the density of states at the Fermi level, the calculation gives 1.018 states/eV per atom. The distance to the lowest polymorph of the same formula is 461 meV/atom. Its formation energy is 0.046 eV/atom. The final energy is -4.445 eV per atom.



No. 6
ZrPO2F: relaxed, PBE.

The structure belongs to space group P4/mmm (No. 123); the cell edges are 4.001, 4.001 and 5.742 Å and the angles 90.00°, 90.00° and 90.00°. The inequivalent atoms are Zr at (0.000, 0.000, 0.000), P at (0.000, 0.000, 0.500), O at (0.000, 0.500, 0.000) and F at (0.500, 0.500, 0.500).

The formation energy without anion corrections is -1.185 eV/atom. For the density of states at the Fermi level, the calculation gives 0.682 states/eV per atom. The final energy is -6.335 eV per atom.



No. 7
NdGaRh: relaxed, PBE.

The structure belongs to space group C2/m (No. 12); the cell edges are 10.270, 4.320 and 7.113 Å and the angles 90.00°, 127.33° and 90.00°. The inequivalent atoms are Nd at (0.060, 0.000, 0.310), Ga at (0.181, 0.500, 0.092) and Rh at (0.163, 0.500, 0.705).

For the density of states at the Fermi level, the calculation gives 0.808 states/eV per atom. Its formation energy is -0.748 eV/atom. The final energy is -5.796 eV per atom.



No. 8
GeRhSe4: relaxed, PBE.

The structure belongs to space group C2/m (No. 12); the cell edges are 12.246, 3.755 and 6.451 Å and the angles 90.00°, 120.21° and 90.00°. The inequivalent atoms are Ge at (0.000, 0.000, 0.000), Rh at (0.000, 0.500, 0.500), Se at (0.124, 0.000, 0.459) and Se at (0.133, 0.500, 0.945).

The formation energy without anion corrections is -0.316 eV/atom. For the density of states at the Fermi level, the calculation gives 0.619 states/eV per atom. The final energy is -4.634 eV per atom.



No. 9
Pm2Ge5Ru: relaxed, PBE.

The structure belongs to space group I4mm (No. 107); the cell edges are 6.167, 6.167 and 8.975 Å and the angles 90.00°, 90.00° and 90.00°. The inequivalent atoms are Pm at (0.000, 0.500, 0.000), Ge at (0.000, 0.000, 0.455), Ge at (0.216, 0.216, 0.241) and Ru at (0.000, 0.000, 0.721).

For the density of states at the Fermi level, the calculation gives 0.470 states/eV per atom. Its formation energy is -0.437 eV/atom. The final energy is -5.670 eV per atom.



No. 10
KTl3Au3: relaxed, PBE.

The structure belongs to space group R-3 (No. 148, hexagonal axes); the cell edges are 9.2113, 9.2113 and 17.4491 Å and the angles 90.00°, 90.00° and 120.00°. The inequivalent atoms are K at (0.0000, 0.0000, 0.1678), Tl at (0.0041, 0.7022, 0.5899) and Au at (0.0017, 0.6575, 0.4210).

For the density of states at the Fermi level, the calculation gives 0.351 states/eV per atom. The distance to the lowest polymorph of the same formula is 69 meV/atom. Its formation energy is -0.065 eV/atom. The final energy is -2.641 eV per atom.



No. 11
KZn2FeIr: relaxed, PBE.

The structure belongs to space group P4/mmm (No. 123); the cell edges are 4.811, 4.811 and 4.356 Å and the angles 90.00°, 90.00° and 90.00°. The inequivalent atoms are K at (0.000, 0.000, 0.000), Zn at (0.000, 0.500, 0.000), Fe at (0.000, 0.000, 0.500) and Ir at (0.500, 0.500, 0.500).

For the density of states at the Fermi level, the calculation gives 1.246 states/eV per atom. Its formation energy is 2.245 eV/atom. The final energy is -1.949 eV per atom.



No. 12
MnNiBr2: relaxed, PBE.

The structure belongs to space group P2/m (No. 10); the cell edges are 3.697, 3.773 and 6.160 Å and the angles 90.00°, 93.89° and 90.00°. The inequivalent atoms are Mn at (0.000, 0.000, 0.000), Ni at (0.500, 0.000, 0.500) and Br at (0.291, 0.500, 0.259).

The formation energy without anion corrections is 0.240 eV/atom. For the density of states at the Fermi level, the calculation gives 0.652 states/eV per atom. The distance to the lowest polymorph of the same formula is 450 meV/atom. The final energy is -4.334 eV per atom.



No. 13
Ho5ZnCu2: relaxed, PBE.

The structure belongs to space group I4/mcm (No. 140); the cell edges are 7.774, 7.774 and 12.691 Å and the angles 90.00°, 90.00° and 90.00°. The inequivalent atoms are Ho at (0.000, 0.000, 0.000), Ho at (0.159, 0.341, 0.144), Zn at (0.000, 0.000, 0.250) and Cu at (0.126, 0.374, 0.500).

For the density of states at the Fermi level, the calculation gives 1.130 states/eV per atom. Its formation energy is -0.179 eV/atom. The final energy is -4.223 eV per atom.